This record from Alexandria describes a geometry-optimized KCa2InNi structure. The functional is PBE.

It has space group P4/mmm (No. 123), with a = 5.5868 Å, b = 5.5868 Å, c = 5.1139 Å, α = 90.00°, β = 90.00° and γ = 90.00°. The asymmetric unit holds K at (0.0000, 0.0000, 0.0000), Ca at (0.0000, 0.5000, 0.5000), In at (0.5000, 0.5000, 0.0000) and Ni at (0.5000, 0.5000, 0.5000).

The crystal system is tetragonal. The calculation puts the formation energy from the elements at -44 kJ/mol of formula units. The value obtained for the size of the total moment is 0.00 Bohr magnetons per cell. As for the mass density: 3.05 g cm⁻³.

---

This record from Alexandria describes a geometry-optimized K3CaIn2O6 structure. The functional is PBE.

It has space group C2/m (No. 12), with a = 5.9151 Å, b = 10.2416 Å, c = 6.5060 Å, α = 90.00°, β = 107.72° and γ = 90.00°. The asymmetric unit holds K at (0.0000, 0.0000, 0.0000), K at (0.0000, 0.3354, 0.0000), Ca at (0.0000, 0.5000, 0.5000), In at (0.0000, 0.1667, 0.5000), O at (0.2114, 0.0000, 0.6894) and O at (0.2397, 0.3238, 0.6902).

The crystal system is monoclinic. The calculation puts the uncorrected formation energy at -1904 kJ/mol of formula units. The value obtained for the size of the total moment is 2.31 Bohr magnetons per cell. As for the mass density: 4.27 g cm⁻³.

---

This record from Alexandria describes a geometry-optimized KCaInPb structure. The functional is PBE.

It has space group F-43m (No. 216), with a = 8.0566 Å, b = 8.0566 Å, c = 8.0566 Å, α = 90.00°, β = 90.00° and γ = 90.00°. The asymmetric unit holds K at (0.0000, 0.0000, 0.0000), Ca at (0.0000, 0.0000, 0.5000), In at (0.2500, 0.2500, 0.2500) and Pb at (0.2500, 0.2500, 0.7500).

The crystal system is cubic. The calculation puts the formation energy from the elements at -81 kJ/mol of formula units. The value obtained for the size of the total moment is 0.00 Bohr magnetons per cell. As for the mass density: 5.10 g cm⁻³.

---

This record from Alexandria describes a geometry-optimized KCa2InPd structure. The functional is PBE.

It has space group P4/mmm (No. 123), with a = 5.6794 Å, b = 5.6794 Å, c = 5.3344 Å, α = 90.00°, β = 90.00° and γ = 90.00°. The asymmetric unit holds K at (0.0000, 0.0000, 0.0000), Ca at (0.0000, 0.5000, 0.5000), In at (0.5000, 0.5000, 0.0000) and Pd at (0.5000, 0.5000, 0.5000).

The crystal system is tetragonal. The calculation puts the formation energy from the elements at -146 kJ/mol of formula units. The value obtained for the size of the total moment is 0.00 Bohr magnetons per cell. As for the mass density: 3.29 g cm⁻³.

---

no.,DFT total energy (eV per atom)
1,-2.82
2,-5.02
3,-2.60
4,-2.91